First-principles (SCAN) data for a crystal of Cs4KLiGa2F12 relaxed with PBEsol, as listed in Alexandria.

Results
volume	347	Å³/f.u.
raw total energy	-14.897	eV per atom
crystal system	trigonal
space group	R-3m
size of the total moment	0.02	μB/atom
formation energy without anion corrections	-3.04	eV per atom

abc: 10.822 10.822 10.822
angles: 33.68 33.68 33.68
Sites, in units of the cell vectors:
Cs: 0.133 0.133 0.133
Cs: 0.286 0.286 0.286
Cs: 0.714 0.714 0.714
Cs: 0.867 0.867 0.867
K: 0.000 0.000 0.000
Li: 0.500 0.500 0.500
Ga: 0.416 0.416 0.416
Ga: 0.584 0.584 0.584
F: 0.179 0.595 0.595
F: 0.237 0.237 0.672
F: 0.237 0.672 0.237
F: 0.328 0.763 0.763
F: 0.405 0.405 0.821
F: 0.405 0.821 0.405
F: 0.595 0.179 0.595
F: 0.595 0.595 0.179
F: 0.672 0.237 0.237
F: 0.763 0.328 0.763
F: 0.763 0.763 0.328
F: 0.821 0.405 0.405

---

First-principles (SCAN) data for a crystal of K2AgF relaxed with PBEsol, as listed in Alexandria.

Results
volume	106	Å³/f.u.
raw total energy	-13.956	eV per atom
crystal system	cubic
space group	Fm-3m
size of the total moment	0.00	μB/atom
formation energy without anion corrections	-1.07	eV per atom

abc: 5.309 5.309 5.309
angles: 60.00 60.00 60.00
Sites, in units of the cell vectors:
K: 0.250 0.250 0.250
K: 0.750 0.750 0.750
Ag: 0.000 0.000 0.000
F: 0.500 0.500 0.500

---

First-principles (SCAN) data for a crystal of Ba5Mg3 relaxed with PBEsol, as listed in Alexandria.

Results
volume	358	Å³/f.u.
raw total energy	-26.570	eV per atom
crystal system	tetragonal
space group	I4/mcm
size of the total moment	0.14	μB/atom
polymorph energy (0 for the lowest one)	0.002	eV/atom
formation energy	11	kJ/mol of formula units

abc: 10.700 10.700 10.700
angles: 96.15 96.15 141.80
Sites, in units of the cell vectors:
Ba: 0.083 0.782 0.865
Ba: 0.218 0.083 0.301
Ba: 0.250 0.750 0.500
Ba: 0.282 0.583 0.865
Ba: 0.417 0.282 0.699
Ba: 0.583 0.718 0.301
Ba: 0.718 0.417 0.135
Ba: 0.750 0.250 0.500
Ba: 0.782 0.917 0.699
Ba: 0.917 0.218 0.135
Mg: 0.163 0.337 0.500
Mg: 0.250 0.250 0.000
Mg: 0.337 0.837 0.175
Mg: 0.663 0.163 0.825
Mg: 0.750 0.750 0.000
Mg: 0.837 0.663 0.500